Computed, not measured: a relaxed Li4FeCo3P4O16 crystal at the PBE+U level of DFT.

## Properties
D(E_F): 0.000 states/eV/atom
E: -6.668 eV per atom
SG: Pm (6)

a b c (Å): 6.0147 4.7563 10.3150
angles (deg): 89.86 90.00 90.00
Fractional positions:
1 Li 0.2487 0.0001 0.9968
2 Li 0.7513 0.0001 0.9968
3 Li 0.7496 0.4979 0.5009
4 Li 0.2504 0.4979 0.5009
5 Fe 0.0000 0.9752 0.2792
6 Co 0.5000 0.0192 0.7215
7 Co 0.5000 0.4812 0.2177
8 Co 0.0000 0.5126 0.7783
9 P 0.0000 0.0806 0.5978
10 P 0.0000 0.4184 0.0926
11 P 0.5000 0.5861 0.9056
12 P 0.5000 0.9178 0.4057
13 O 0.0000 0.2024 0.4579
14 O 0.2053 0.2177 0.6684
15 O 0.7947 0.2177 0.6684
16 O 0.5000 0.2405 0.4006
17 O 0.5000 0.2636 0.9011
18 O 0.2054 0.2824 0.1638
19 O 0.7946 0.2824 0.1638
20 O 0.0000 0.2950 0.9526
21 O 0.5000 0.7054 0.0461
22 O 0.7051 0.7256 0.8360
23 O 0.2949 0.7256 0.8360
24 O 0.0000 0.7409 0.0952
25 O 0.0000 0.7569 0.6011
26 O 0.7040 0.7797 0.3348
27 O 0.2960 0.7797 0.3348
28 O 0.5000 0.7972 0.5459